Material: BeReOs2
Method: DFT, PBE
State: relaxed

abc: 2.827 4.548 8.469
angles: 90.00 90.00 90.00
Space group Cmm2 (No. 35)
One atom of each set of equivalent atoms:
Be (0.000, 0.000, 0.000) [2 per cell]
Re (0.000, 0.500, 0.237) [2 per cell]
Os (0.000, 0.000, 0.503) [2 per cell]
Os (0.000, 0.500, 0.777) [2 per cell]

Summary:
- E_form (eV per atom) = 0.40
- volume (Å³/cell) = 108.9
- DOS at the Fermi energy (states/eV per cell) = 6.4
- total DFT energy (no corrections) (eV/atom) = -9.263



Material: Sn2PtCl
Method: DFT, PBE
State: relaxed

abc: 6.999 6.999 6.999
angles: 90.00 90.00 90.00
Space group Fm-3m (No. 225)
One atom of each set of equivalent atoms:
Sn (0.250, 0.250, 0.250) [8 per cell]
Pt (0.000, 0.000, 0.000) [4 per cell]
Cl (0.000, 0.000, 0.500) [4 per cell]

Summary:
- E above lowest polymorph (eV per atom) = 0.076
- volume (Å³/cell) = 342.8
- uncorrected formation energy (meV per atom) = -208.3
- DOS at the Fermi energy (states/eV per cell) = 12.0
- total DFT energy (no corrections) (eV/atom) = -4.182



Material: SmTmPu2S4
Method: DFT, PBE
State: relaxed

abc: 6.785 3.936 6.886
angles: 90.00 109.50 90.00
Space group P2/m (No. 10)
One atom of each set of equivalent atoms:
Sm (0.000, 0.000, 0.000) [1 per cell]
Tm (0.000, 0.500, 0.500) [1 per cell]
Pu (0.500, 0.000, 0.500) [1 per cell]
Pu (0.500, 0.500, 0.000) [1 per cell]
S (0.245, 0.000, 0.742) [2 per cell]
S (0.250, 0.500, 0.258) [2 per cell]

Summary:
- volume (Å³/cell) = 173.3
- uncorrected formation energy (meV per atom) = -1886.9
- DOS at the Fermi energy (states/eV per cell) = 15.1
- total DFT energy (no corrections) (eV/atom) = -8.682



Material: ScNbSn2
Method: DFT, PBE
State: relaxed

abc: 7.759 7.759 6.164
angles: 90.00 90.00 90.00
Space group I-42d (No. 122)
One atom of each set of equivalent atoms:
Sc (0.000, 0.000, 0.000) [4 per cell]
Nb (0.000, 0.000, 0.500) [4 per cell]
Sn (0.241, 0.250, 0.625) [8 per cell]

Summary:
- E above lowest polymorph (eV per atom) = 0.194
- E_form (eV per atom) = -0.01
- volume (Å³/cell) = 371.1
- DOS at the Fermi energy (states/eV per cell) = 2.1
- total DFT energy (no corrections) (eV/atom) = -6.114